GaHg3W: single point on PBEsol structure, meta-GGA SCAN.

Properties
- ΔE_f: 1055.1 meV per atom
- Space-group type: Pm-3m

Unit cell a=5.2219 b=5.2219 c=5.2219 alpha=90.00 beta=90.00 gamma=90.00
Closest atoms and distances in Å follow each position.
Fractional coordinates of all 5 atoms:
Ga 0.0000 0.0000 0.0000  12 Hg 3.69
Hg 0.0000 0.5000 0.5000  2 W 2.61
Hg 0.5000 0.0000 0.5000  2 W 2.61
Hg 0.5000 0.5000 0.0000  2 W 2.61
W 0.5000 0.5000 0.5000  6 Hg 2.61